9
Lattice="3.5545 0.0000 0.3888 0.0000 9.1170 0.0000 -0.9162 -4.5585 8.4087" Properties=species:S:1:pos:R:3 comment="Y2Ho6Ni, relaxed, DFT PBE" ef_kj_per_mol_fu=99.7 sg="Cmmm (65)" dos_ef_per_ev_fu=12.55 pbc="T T T"
Y 1.4650 4.5585 3.0605
Y 1.1732 0.0000 5.7370
Ho 3.2515 1.5361 3.1667
Ho -0.6133 -3.0224 5.6307
Ho -0.6133 3.0224 5.6307
Ho 1.7772 2.0477 0.1944
Ho 3.2515 7.5809 3.1667
Ho 1.7772 7.0693 0.1944
Ni 0.0000 0.0000 0.0000

***

10
Lattice="3.9340 0.0000 0.0000 0.0000 7.4671 -0.0262 0.0000 0.0394 7.4670" Properties=species:S:1:pos:R:3 comment="Y3Ho3Ni4, relaxed, DFT PBE" ef_kj_per_mol_fu=-314.1 sg="Amm2 (38)" dos_ef_per_ev_fu=8.84 pbc="T T T"
Y 1.9670 6.2363 1.2154
Y 1.9670 2.5106 2.4888
Y 1.9670 4.9957 4.9522
Ho 0.0000 3.7654 7.4490
Ho 0.0000 0.0247 3.7410
Ho 1.9670 1.2645 6.2311
Ni 0.0000 4.6722 2.7933
Ni 0.0000 2.8158 4.6661
Ni 0.0000 6.5961 6.5112
Ni 0.0000 0.9375 0.9022

***

6
Lattice="5.0672 0.0000 0.0000 2.5336 4.3883 0.0000 2.5336 1.4628 4.1373" Properties=species:S:1:pos:R:3 comment="YHoNi4, relaxed, DFT PBE" ef_kj_per_mol_fu=-255.7 sg="F-43m (216)" dos_ef_per_ev_fu=3.46 pbc="T T T"
Y 0.0000 0.0000 0.0000
Ni 5.0672 2.9255 0.5205
Ni 5.0672 1.4659 2.5847
Ni 6.3312 3.6553 2.5847
Ni 3.8031 3.6553 2.5847
Ho 2.5336 1.4628 1.0343

***

8
Lattice="-1.7855 0.3035 3.1358 -3.6669 -3.3729 -3.8506 4.1466 -8.0980 3.1447" Properties=species:S:1:pos:R:3 comment="Y2HoNi, relaxed, DFT PBE" ef_kj_per_mol_fu=-80.9 sg="Cmcm (63)" polymorph_energy_kcal_per_mol_atoms=0.79 dos_ef_per_ev_fu=6.08 pbc="T T T"
Y -0.9500 -6.9655 0.1355
Y -0.3558 -4.2020 2.2944
Y 0.5359 -9.8674 1.2624
Y -1.8417 -1.3001 1.1675
Ho -3.6432 -4.5488 0.4567
Ho 2.3374 -6.6187 1.9733
Ni -0.1424 -7.5876 2.7481
Ni -1.1634 -3.5798 -0.3181

***

- What is the formula in the fourth record?
  Y2HoNi

***

Please write out number 4 again, unchanged.
8
Lattice="-1.7855 0.3035 3.1358 -3.6669 -3.3729 -3.8506 4.1466 -8.0980 3.1447" Properties=species:S:1:pos:R:3 comment="Y2HoNi, relaxed, DFT PBE" ef_kj_per_mol_fu=-80.9 sg="Cmcm (63)" polymorph_energy_kcal_per_mol_atoms=0.79 dos_ef_per_ev_fu=6.08 pbc="T T T"
Y -0.9500 -6.9655 0.1355
Y -0.3558 -4.2020 2.2944
Y 0.5359 -9.8674 1.2624
Y -1.8417 -1.3001 1.1675
Ho -3.6432 -4.5488 0.4567
Ho 2.3374 -6.6187 1.9733
Ni -0.1424 -7.5876 2.7481
Ni -1.1634 -3.5798 -0.3181

***

Copy entry 3 word for word.
6
Lattice="5.0672 0.0000 0.0000 2.5336 4.3883 0.0000 2.5336 1.4628 4.1373" Properties=species:S:1:pos:R:3 comment="YHoNi4, relaxed, DFT PBE" ef_kj_per_mol_fu=-255.7 sg="F-43m (216)" dos_ef_per_ev_fu=3.46 pbc="T T T"
Y 0.0000 0.0000 0.0000
Ni 5.0672 2.9255 0.5205
Ni 5.0672 1.4659 2.5847
Ni 6.3312 3.6553 2.5847
Ni 3.8031 3.6553 2.5847
Ho 2.5336 1.4628 1.0343